## Ba2CoN (PBE)

Data for crystalline Ba2CoN at its relaxed geometry.

Values from the calculation:
Uncorrected energy ... -69.82 eV/cell
Uncorrected formation energy ... 0.455 eV/atom
M_tot ... 0.50 μB per atom
D(E_F) ... 0.12 states/eV/atom

Unit cell a=7.842 b=7.842 c=8.482 alpha=90.00 beta=90.00 gamma=90.00
Space group I-42d (No. 122)
Inequivalent atoms, fractional coordinates:
Ba 0.170 0.250 0.125 (multiplicity 8)
Co 0.000 0.000 0.500 (multiplicity 4)
N 0.000 0.000 0.000 (multiplicity 4)